Entry from the Alexandria database: a relaxed ReAs4Rh crystal (PBE-GGA).

Lattice parameters (Å, degrees): 5.2756 5.2756 5.2756 60.00 60.00 60.00
Sites, in units of the cell vectors:
1 Re 0.0000 0.0000 0.0000
2 As 0.1246 0.6251 0.6251
3 As 0.6251 0.1246 0.6251
4 As 0.6251 0.6251 0.1246
5 As 0.6251 0.6251 0.6251
6 Rh 0.2500 0.2500 0.2500

Summary:
Space-group type   F-43m, No. 216
V   103.8 Å³ per cell
E   -5.380 eV per atom
ρ   9.4 g/cm³
DOS(E_F)   0.9080 states/eV per atom
ΔE_f   1019.7 meV/atom